Computed, not measured: GaCo2 after structural relaxation at the PBE-GGA level of DFT.

The structure in POSCAR format:
```
GaCo2
1.0
4.824 0.000 0.000
0.000 4.824 0.000
0.000 0.000 4.030
Ga Co
2 4
Cartesian
0.000 0.000 0.000
2.412 2.412 2.015
0.820 0.820 2.015
1.592 3.232 0.000
3.232 1.592 0.000
4.004 4.004 2.015
```

calculated total energy = -4.92 eV per atom
symmetry = P4_2/mnm, No. 136
crystal system = tetragonal
total magnetization = 2.53 μB/f.u.

Computed, not measured: Ac2Ho2O5 after structural relaxation at the PBE-GGA level of DFT.

The structure in POSCAR format:
```
Ac2Ho2O5
1.0
4.480 0.000 0.000
0.000 4.480 0.000
0.000 0.000 8.147
Ac Ho O
2 2 5
Cartesian
0.000 0.000 1.844
0.000 0.000 6.302
2.240 2.240 0.000
2.240 2.240 4.073
0.000 0.000 4.073
0.000 2.240 2.487
0.000 2.240 5.659
2.240 0.000 2.487
2.240 0.000 5.659
```

calculated total energy = -6.74 eV per atom
symmetry = P4/mmm, No. 123
crystal system = tetragonal
total magnetization = 0.01 μB/f.u.
excess energy over the best structure of this formula in the dataset = 899 meV per atom